# 1
Computed, not measured: GdMgSi after structural relaxation at the GGA-PBE level of DFT.

The structure belongs to space group F-43m (No. 216); the cell edges are 6.617, 6.617 and 6.617 Å and the angles 90.00°, 90.00° and 90.00°. The inequivalent atoms are Gd at (0.000, 0.000, 0.000), Mg at (0.000, 0.000, 0.500) and Si at (0.250, 0.250, 0.250).

The magnetic moment comes out at 0.01 μB/cell. For the volume, the calculation gives 290 Å³ per cell. The total energy comes out at -51.2 eV/cell.

---

# 2
Computed, not measured: ZrZn2Hg after structural relaxation at the GGA-PBE level of DFT.

The structure belongs to space group F-43m (No. 216); the cell edges are 6.656, 6.656 and 6.656 Å and the angles 90.00°, 90.00° and 90.00°. The inequivalent atoms are Zr at (0.000, 0.000, 0.000), Zn at (0.000, 0.000, 0.500), Zn at (0.250, 0.250, 0.750) and Hg at (0.250, 0.250, 0.250).

The magnetic moment comes out at 0.01 μB/cell. The calculation puts the calculated formation energy at -0.03 eV per atom. For the volume, the calculation gives 295 Å³ per cell. The total energy comes out at -45.9 eV/cell.